No. 1
SmDy2Ho4Sc | PBE | optimized geometry

Unit cell a=4.960 b=4.960 c=9.930 alpha=90.00 beta=90.00 gamma=90.00
Space group P4/mmm (No. 123)
Symmetry-distinct sites (fractional):
Sm (0.000, 0.000, 0.000)
Dy (0.000, 0.000, 0.500)
Dy (0.500, 0.500, 0.000)
Ho (0.000, 0.500, 0.256)
Sc (0.500, 0.500, 0.500)

Computed properties:
Calculated formation energy ... 32 meV per atom

No. 2
MgMo2Cl | PBE | optimized geometry

Unit cell a=2.969 b=4.832 c=5.212 alpha=90.00 beta=90.00 gamma=90.00
Space group Pmmm (No. 47)
Symmetry-distinct sites (fractional):
Mg (0.000, 0.000, 0.000)
Mo (0.500, 0.500, 0.213)
Cl (0.000, 0.000, 0.500)

Computed properties:
ΔE_f (raw) ... 2.65 eV per formula unit
Polymorph energy (0 for the lowest one) ... 699 meV per atom

No. 3
Tl8BrF6 | PBE | optimized geometry

Unit cell a=13.018 b=13.018 c=13.018 alpha=90.00 beta=90.00 gamma=90.00
Space group Fm-3m (No. 225)
Symmetry-distinct sites (fractional):
Tl (0.151, 0.151, 0.151)
Br (0.000, 0.000, 0.000)
F (0.000, 0.250, 0.250)

Computed properties:
ΔE_f (raw) ... -20.70 eV per formula unit

No. 4
BeCdCl2 | PBE | optimized geometry

Unit cell a=3.030 b=3.030 c=9.714 alpha=90.00 beta=90.00 gamma=90.00
Space group P4/mmm (No. 123)
Symmetry-distinct sites (fractional):
Be (0.000, 0.000, 0.000)
Cd (0.000, 0.000, 0.500)
Cl (0.500, 0.500, 0.146)

Computed properties:
ΔE_f (raw) ... -0.63 eV per formula unit
Polymorph energy (0 for the lowest one) ... 748 meV per atom

D(E_F) for the records above, in order: 11.66 3.71 12.03 0.82 states/eV per cell
Ρ for the records above, in order: 8.0 5.6 5.5 3.6 g/cm3